Run P
Material: Tm2HfIn
Method: DFT, GGA-PBE
State: optimized geometry

Calculated values
Volume   105.5 Å³/cell
SG   No. 160
M_tot   0.0 Bohr magnetons per cell

Cell: 3.415 3.415 10.633 Å, 80.76 80.76 60.00°
Fractional positions:
Tm 0.084 0.084 0.747
Tm 0.249 0.249 0.253
Hf 0.500 0.500 0.500
In 0.667 0.667 0.000

Run Q
Material: Tm2HfIn
Method: DFT, GGA-PBE
State: optimized geometry

Calculated values
Volume   105.1 Å³/cell
SG   No. 166
M_tot   0.0 Bohr magnetons per cell

Cell: 3.393 3.393 10.721 Å, 80.90 80.90 60.00°
Fractional positions:
Tm 0.249 0.249 0.253
Tm 0.751 0.751 0.747
Hf 0.500 0.500 0.500
In 0.000 0.000 0.000

We find run P to be the most stable, with the next structure 1.4 kJ/mol of atoms higher.